1.
YTeI3 | GGA-PBE | optimized geometry

CIF file:
```
data_YTeI3
_chemical_formula_sum 'Y1 Te1 I3'
_cell_length_a 6.0849
_cell_length_b 6.0849
_cell_length_c 6.0849
_cell_angle_alpha 90.00
_cell_angle_beta 90.00
_cell_angle_gamma 90.00
_symmetry_space_group_name_H-M 'P m -3 m'
_symmetry_Int_Tables_number 221
_symmetry_space_group_name_Hall '-P 4 2 3'
loop_
_atom_site_label
_atom_site_fract_x
_atom_site_fract_y
_atom_site_fract_z
_atom_site_occupancy
Y1 0.0000 0.0000 0.0000 1
Te1 0.5000 0.5000 0.5000 1
I1 0.0000 0.5000 0.5000 1
```

Values from the calculation:
The calculation puts the energy above the most stable polymorph in this dataset at 79.2 kJ/mol of atoms. As for the crystal system: cubic.

---

2.
YTeI | GGA-PBE | optimized geometry

CIF file:
```
data_YTeI
_chemical_formula_sum 'Y2 Te2 I2'
_cell_length_a 3.8456
_cell_length_b 3.8456
_cell_length_c 14.6661
_cell_angle_alpha 90.00
_cell_angle_beta 90.00
_cell_angle_gamma 90.00
_symmetry_space_group_name_H-M 'I 4 m m'
_symmetry_Int_Tables_number 107
_symmetry_space_group_name_Hall 'I 4 -2'
loop_
_atom_site_label
_atom_site_fract_x
_atom_site_fract_y
_atom_site_fract_z
_atom_site_occupancy
Y1 0.0000 0.0000 0.0000 1
Te1 0.0000 0.0000 0.3929 1
I1 0.0000 0.0000 0.6432 1
```

Values from the calculation:
The calculation puts the energy above the most stable polymorph in this dataset at 27.3 kJ/mol of atoms. As for the crystal system: tetragonal.

---

3.
Y2TeI | GGA-PBE | optimized geometry

CIF file:
```
data_Y2TeI
_chemical_formula_sum 'Y8 Te4 I4'
_cell_length_a 7.5746
_cell_length_b 7.5746
_cell_length_c 7.5746
_cell_angle_alpha 90.00
_cell_angle_beta 90.00
_cell_angle_gamma 90.00
_symmetry_space_group_name_H-M 'F m -3 m'
_symmetry_Int_Tables_number 225
_symmetry_space_group_name_Hall '-F 4 2 3'
loop_
_atom_site_label
_atom_site_fract_x
_atom_site_fract_y
_atom_site_fract_z
_atom_site_occupancy
Y1 0.2500 0.2500 0.2500 1
Te1 0.0000 0.0000 0.0000 1
I1 0.0000 0.0000 0.5000 1
```

Values from the calculation:
The calculation puts the energy above the most stable polymorph in this dataset at 2.8 kJ/mol of atoms. As for the crystal system: cubic.

---

4.
Y2TeI | GGA-PBE | optimized geometry

CIF file:
```
data_Y2TeI
_chemical_formula_sum 'Y6 Te3 I3'
_cell_length_a 4.0181
_cell_length_b 4.0181
_cell_length_c 25.3461
_cell_angle_alpha 90.00
_cell_angle_beta 90.00
_cell_angle_gamma 120.00
_symmetry_space_group_name_H-M 'R 3 m'
_symmetry_Int_Tables_number 160
_symmetry_space_group_name_Hall 'R 3 -2"'
loop_
_atom_site_label
_atom_site_fract_x
_atom_site_fract_y
_atom_site_fract_z
_atom_site_occupancy
Y1 0.0000 0.0000 0.0000 1
Y2 0.0000 0.0000 0.1755 1
Te1 0.0000 0.0000 0.5879 1
I1 0.0000 0.0000 0.7550 1
```

Values from the calculation:
The calculation puts the energy above the most stable polymorph in this dataset at 0.0 kJ/mol of atoms. As for the crystal system: trigonal.

---

5.
Y3TeI7 | GGA-PBE | optimized geometry

CIF file:
```
data_Y3TeI7
_chemical_formula_sum 'Y3 Te1 I7'
_cell_length_a 8.7812
_cell_length_b 8.7812
_cell_length_c 7.5235
_cell_angle_alpha 90.00
_cell_angle_beta 90.00
_cell_angle_gamma 120.00
_symmetry_space_group_name_H-M 'P 3 m 1'
_symmetry_Int_Tables_number 156
loop_
_symmetry_equiv_pos_as_xyz
'x,y,z'
'-y,x-y,z'
'-x+y,-x,z'
'-y,-x,z'
'-x+y,y,z'
'x,x-y,z'
loop_
_atom_site_label
_atom_site_fract_x
_atom_site_fract_y
_atom_site_fract_z
_atom_site_occupancy
Y1 0.0126 0.5063 0.0000 1
Te1 0.3333 0.6667 0.7670 1
I1 0.1701 0.3403 0.2403 1
I2 0.3409 0.1704 0.7789 1
I3 0.6667 0.3333 0.2428 1
```

Values from the calculation:
As for the crystal system: trigonal.

---

6.
Y4TeI5 | GGA-PBE | optimized geometry

CIF file:
```
data_Y4TeI5
_chemical_formula_sum 'Y8 Te2 I10'
_cell_length_a 19.2887
_cell_length_b 4.2215
_cell_length_c 9.0077
_cell_angle_alpha 90.00
_cell_angle_beta 103.99
_cell_angle_gamma 90.00
_symmetry_space_group_name_H-M 'C 1 2/m 1'
_symmetry_Int_Tables_number 12
loop_
_symmetry_equiv_pos_as_xyz
'x,y,z'
'-x,-y,-z'
'-x,y,-z'
'x,-y,z'
'x+1/2,y+1/2,z'
'-x+1/2,-y+1/2,-z'
'-x+1/2,y+1/2,-z'
'x+1/2,-y+1/2,z'
loop_
_atom_site_label
_atom_site_fract_x
_atom_site_fract_y
_atom_site_fract_z
_atom_site_occupancy
Y1 0.0036 0.0000 0.2781 1
Y2 0.1534 0.5000 0.5639 1
Te1 0.0000 0.5000 0.5000 1
I1 0.0000 0.5000 0.0000 1
I2 0.1633 0.0000 0.8246 1
I3 0.1745 0.0000 0.3168 1
```

Values from the calculation:
As for the crystal system: monoclinic.

---

7.
Y2TeI | GGA-PBE | optimized geometry

CIF file:
```
data_Y2TeI
_chemical_formula_sum 'Y6 Te3 I3'
_cell_length_a 4.1470
_cell_length_b 4.1470
_cell_length_c 24.9768
_cell_angle_alpha 90.00
_cell_angle_beta 90.00
_cell_angle_gamma 120.00
_symmetry_space_group_name_H-M 'R -3 m'
_symmetry_Int_Tables_number 166
_symmetry_space_group_name_Hall '-R 3 2"'
loop_
_atom_site_label
_atom_site_fract_x
_atom_site_fract_y
_atom_site_fract_z
_atom_site_occupancy
Y1 0.0000 0.0000 0.2371 1
Te1 0.0000 0.0000 0.5000 1
I1 0.0000 0.0000 0.0000 1
```

Values from the calculation:
The calculation puts the energy above the most stable polymorph in this dataset at 5.4 kJ/mol of atoms. As for the crystal system: trigonal.

---

8.
YTeI | GGA-PBE | optimized geometry

CIF file:
```
data_YTeI
_chemical_formula_sum 'Y2 Te2 I2'
_cell_length_a 4.3521
_cell_length_b 6.1379
_cell_length_c 9.5082
_cell_angle_alpha 90.00
_cell_angle_beta 90.00
_cell_angle_gamma 90.00
_symmetry_space_group_name_H-M 'P m m n'
_symmetry_Int_Tables_number 59
loop_
_symmetry_equiv_pos_as_xyz
'x,y,z'
'-x,-y,-z'
'-x+1/2,-y+1/2,z'
'x+1/2,y+1/2,-z'
'x+1/2,-y,-z'
'-x+1/2,y,z'
'-x,y+1/2,-z'
'x,-y+1/2,z'
loop_
_atom_site_label
_atom_site_fract_x
_atom_site_fract_y
_atom_site_fract_z
_atom_site_occupancy
Y1 0.2500 0.2500 0.1245 1
Te1 0.2500 0.7500 0.1064 1
I1 0.2500 0.7500 0.6498 1
```

Values from the calculation:
The calculation puts the energy above the most stable polymorph in this dataset at 0.0 kJ/mol of atoms. As for the crystal system: orthorhombic.

---

9.
YZnTeI2 | GGA-PBE | optimized geometry

CIF file:
```
data_YZnTeI2
_chemical_formula_sum 'Y1 Zn1 Te1 I2'
_cell_length_a 5.3886
_cell_length_b 5.3886
_cell_length_c 5.5471
_cell_angle_alpha 90.00
_cell_angle_beta 90.00
_cell_angle_gamma 90.00
_symmetry_space_group_name_H-M 'P 4/m m m'
_symmetry_Int_Tables_number 123
_symmetry_space_group_name_Hall '-P 4 2'
loop_
_atom_site_label
_atom_site_fract_x
_atom_site_fract_y
_atom_site_fract_z
_atom_site_occupancy
Y1 0.0000 0.0000 0.0000 1
Zn1 0.5000 0.5000 0.5000 1
Te1 0.5000 0.5000 0.0000 1
I1 0.0000 0.5000 0.5000 1
```

Values from the calculation:
The calculation puts the energy above the most stable polymorph in this dataset at 28.5 kJ/mol of atoms. As for the crystal system: tetragonal.

---

10.
YZnTeI2 | GGA-PBE | optimized geometry

CIF file:
```
data_YZnTeI2
_chemical_formula_sum 'Y1 Zn1 Te1 I2'
_cell_length_a 5.9810
_cell_length_b 5.9810
_cell_length_c 6.0439
_cell_angle_alpha 90.00
_cell_angle_beta 90.00
_cell_angle_gamma 90.00
_symmetry_space_group_name_H-M 'P 4/m m m'
_symmetry_Int_Tables_number 123
_symmetry_space_group_name_Hall '-P 4 2'
loop_
_atom_site_label
_atom_site_fract_x
_atom_site_fract_y
_atom_site_fract_z
_atom_site_occupancy
Y1 0.0000 0.0000 0.0000 1
Zn1 0.5000 0.5000 0.5000 1
Te1 0.0000 0.0000 0.5000 1
I1 0.0000 0.5000 0.0000 1
```

Values from the calculation:
The calculation puts the energy above the most stable polymorph in this dataset at 0.0 kJ/mol of atoms. As for the crystal system: tetragonal.

---

11.
YZrTeI2 | GGA-PBE | optimized geometry

CIF file:
```
data_YZrTeI2
_chemical_formula_sum 'Y1 Zr1 Te1 I2'
_cell_length_a 5.8670
_cell_length_b 5.8670
_cell_length_c 5.9389
_cell_angle_alpha 90.00
_cell_angle_beta 90.00
_cell_angle_gamma 90.00
_symmetry_space_group_name_H-M 'P 4/m m m'
_symmetry_Int_Tables_number 123
_symmetry_space_group_name_Hall '-P 4 2'
loop_
_atom_site_label
_atom_site_fract_x
_atom_site_fract_y
_atom_site_fract_z
_atom_site_occupancy
Y1 0.0000 0.0000 0.0000 1
Zr1 0.5000 0.5000 0.5000 1
Te1 0.0000 0.0000 0.5000 1
I1 0.0000 0.5000 0.0000 1
```

Values from the calculation:
The calculation puts the energy above the most stable polymorph in this dataset at 14.6 kJ/mol of atoms. As for the crystal system: tetragonal.

---

12.
YZrTe2I | GGA-PBE | optimized geometry

CIF file:
```
data_YZrTe2I
_chemical_formula_sum 'Y1 Zr1 Te2 I1'
_cell_length_a 5.6259
_cell_length_b 5.6259
_cell_length_c 5.5328
_cell_angle_alpha 90.00
_cell_angle_beta 90.00
_cell_angle_gamma 90.00
_symmetry_space_group_name_H-M 'P 4/m m m'
_symmetry_Int_Tables_number 123
_symmetry_space_group_name_Hall '-P 4 2'
loop_
_atom_site_label
_atom_site_fract_x
_atom_site_fract_y
_atom_site_fract_z
_atom_site_occupancy
Y1 0.0000 0.0000 0.0000 1
Zr1 0.5000 0.5000 0.5000 1
Te1 0.0000 0.5000 0.5000 1
I1 0.5000 0.5000 0.0000 1
```

Values from the calculation:
The calculation puts the energy above the most stable polymorph in this dataset at 0.0 kJ/mol of atoms. As for the crystal system: tetragonal.

---

no.,size of the total moment (μB/f.u.),formation energy (no corrections) (eV per atom)
1,1.41,0.2510
2,0.00,-1.1428
3,0.00,-0.9518
4,0.00,-0.9811
5,0.00,-1.3992
6,0.00,-1.1387
7,0.00,-0.9251
8,0.00,-1.4258
9,0.19,-0.2271
10,0.25,-0.5229
11,2.97,-0.0270
12,0.56,-0.2980